Record 1
# Cd5Pb meta-GGA SCAN single point on PBEsol structure
# * excess energy over the best structure of this formula in the dataset: 20 meV/atom
# * crystal system: monoclinic
# * ΔH_f (0 K): 0.0716 eV/atom
data_Cd5Pb
_cell_length_a 11.599
_cell_length_b 3.271
_cell_length_c 7.589
_cell_angle_alpha 90.00
_cell_angle_beta 109.09
_cell_angle_gamma 90.00
_space_group_name_H-M_alt 'C 1 m 1'
_space_group_IT_number 8
loop_
_space_group_symop_operation_xyz
'x,y,z'
'x,-y,z'
'x+1/2,y+1/2,z'
'x+1/2,-y+1/2,z'
loop_
_atom_site_label
_atom_site_type_symbol
_atom_site_fract_x
_atom_site_fract_y
_atom_site_fract_z
Cd1 Cd 0.000 0.000 0.000
Cd2 Cd 0.035 0.000 0.618
Cd3 Cd 0.139 0.500 0.349
Cd4 Cd 0.208 0.500 0.915
Cd5 Cd 0.320 0.000 0.676
Pb1 Pb 0.358 0.000 0.270



Record 2
# Cd4Pb3 meta-GGA SCAN single point on PBEsol structure
# * crystal system: tetragonal
# * ΔH_f (0 K): 0.0531 eV/atom
data_Cd4Pb3
_cell_length_a 3.334
_cell_length_b 3.334
_cell_length_c 31.421
_cell_angle_alpha 90.00
_cell_angle_beta 90.00
_cell_angle_gamma 90.00
_space_group_name_H-M_alt 'I 4/m m m'
_space_group_IT_number 139
_space_group_name_Hall '-I 4 2'
loop_
_atom_site_label
_atom_site_type_symbol
_atom_site_fract_x
_atom_site_fract_y
_atom_site_fract_z
Cd1 Cd 0.000 0.000 0.074
Cd2 Cd 0.000 0.000 0.365
Pb1 Pb 0.000 0.000 0.208
Pb2 Pb 0.000 0.000 0.500



Record 3
# Cd4Pb meta-GGA SCAN single point on PBEsol structure
# * excess energy over the best structure of this formula in the dataset: 17 meV/atom
# * crystal system: tetragonal
# * ΔH_f (0 K): 0.0804 eV/atom
data_Cd4Pb
_cell_length_a 4.154
_cell_length_b 4.154
_cell_length_c 13.905
_cell_angle_alpha 90.00
_cell_angle_beta 90.00
_cell_angle_gamma 90.00
_space_group_name_H-M_alt 'I 4/m m m'
_space_group_IT_number 139
_space_group_name_Hall '-I 4 2'
loop_
_atom_site_label
_atom_site_type_symbol
_atom_site_fract_x
_atom_site_fract_y
_atom_site_fract_z
Cd1 Cd 0.000 0.000 0.101
Cd2 Cd 0.000 0.500 0.250
Pb1 Pb 0.000 0.000 0.500



Number 1: E -37.904 eV per atom. Number 2: E -49.804 eV per atom. Number 3: E -39.407 eV per atom.